Compound: Li2Ni2Sb
Source: Alexandria
Functional: PBE
Structure: relaxed

a b c (Å): 4.199 4.199 5.080
angles (deg): 114.58 114.58 59.81
Element x y z (fractional)
Li (0.204, 0.204, 0.111)
Li (0.796, 0.796, 0.889)
Ni (0.400, 0.400, 0.702)
Ni (0.600, 0.600, 0.298)
Sb (0.000, 0.000, 0.500)

Calculated values
**Theoretical density**: 6.185 g cm⁻³
**V**: 68 Å³ per cell
**Crystal system**: monoclinic
**Energy relative to the lowest polymorph listed for this composition**: 0.00 eV per formula unit
**Spin magnetization**: 0.00 μB/atom
**Energy relative to the elements, uncorrected**: -1.34 eV/f.u.